No. 1
Below is crystalline NiAgPt2 at its relaxed geometry, with properties calculated at the PBE-GGA level.

```
NiAgPt2
1.0
-1.956 1.956 3.954
1.956 -1.956 3.954
1.956 1.956 -3.954
Ni Ag Pt
1 1 2
direct
0.000 0.000 0.000
0.500 0.500 0.000
0.250 0.750 0.500
0.750 0.250 0.500
```

Calculated values
Formation energy (kJ per mole of atoms): 7
Symmetry: I4/mmm (139)
Total magnetic moment (μB per cell): 1.23
Volume (Å³/cell): 60.5
N(E_F) (states/eV/atom): 1.1093
E_tot (eV/cell): -20.4


No. 2
Below is crystalline NiAgPt2 at its relaxed geometry, with properties calculated at the PBE-GGA level.

```
NiAgPt2
1.0
-1.394 2.341 4.679
1.394 -2.341 4.679
1.394 2.341 -4.679
Ni Ag Pt
1 1 2
direct
0.000 0.000 0.000
0.753 0.253 0.500
0.227 0.727 0.500
0.482 0.482 0.000
```

Calculated values
Formation energy (kJ per mole of atoms): 11
Symmetry: Imm2 (44)
Total magnetic moment (μB per cell): 1.24
Volume (Å³/cell): 61.1
N(E_F) (states/eV/atom): 1.2014
E_tot (eV/cell): -20.3


No. 3
Below is crystalline Ni2AgPt at its relaxed geometry, with properties calculated at the PBE-GGA level.

```
Ni2AgPt
1.0
2.704 0.000 0.000
0.000 4.160 0.000
-1.343 0.000 4.954
Ni Ag Pt
2 1 1
direct
0.000 0.000 0.000
0.127 0.500 0.265
0.392 0.500 0.787
0.725 0.000 0.458
```

Calculated values
Formation energy (kJ per mole of atoms): 10
Symmetry: Pm (6)
Total magnetic moment (μB per cell): 1.45
Volume (Å³/cell): 55.7
N(E_F) (states/eV/atom): 1.1309
E_tot (eV/cell): -20.0


No. 4
Below is crystalline NiAgPt6 at its relaxed geometry, with properties calculated at the PBE-GGA level.

```
NiAgPt6
1.0
3.947 0.000 0.000
0.000 3.947 0.000
0.000 0.000 7.894
Ni Ag Pt
1 1 6
direct
0.000 0.000 0.000
0.000 0.000 0.500
0.000 0.500 0.239
0.000 0.500 0.761
0.500 0.000 0.239
0.500 0.000 0.761
0.500 0.500 0.000
0.500 0.500 0.500
```

Calculated values
Formation energy (kJ per mole of atoms): -1
Symmetry: P4/mmm (123)
Total magnetic moment (μB per cell): 0.84
Volume (Å³/cell): 123.0
N(E_F) (states/eV/atom): 1.5219
E_tot (eV/cell): -45.0


No. 5
Below is crystalline Ni2AgPt at its relaxed geometry, with properties calculated at the PBE-GGA level.

```
Ni2AgPt
1.0
1.363 0.787 8.708
-1.363 0.787 8.708
0.000 -1.574 8.708
Ni Ag Pt
2 1 1
direct
0.000 0.000 0.000
0.262 0.262 0.262
0.753 0.753 0.753
0.514 0.514 0.514
```

Calculated values
Formation energy (kJ per mole of atoms): 8
Symmetry: R3m (160)
Total magnetic moment (μB per cell): 1.36
Volume (Å³/cell): 56.1
N(E_F) (states/eV/atom): 1.2216
E_tot (eV/cell): -20.1


No. 6
Below is crystalline NiAgPt2 at its relaxed geometry, with properties calculated at the PBE-GGA level.

```
NiAgPt2
1.0
2.764 -3.970 0.000
2.764 3.970 0.000
0.000 0.000 2.764
Ni Ag Pt
1 1 2
direct
0.000 0.000 0.000
0.500 0.500 0.000
0.000 0.500 0.500
0.500 0.000 0.500
```

Calculated values
Formation energy (kJ per mole of atoms): 7
Symmetry: Cmmm (65)
Total magnetic moment (μB per cell): 1.04
Volume (Å³/cell): 60.6
N(E_F) (states/eV/atom): 1.2066
E_tot (eV/cell): -20.4


No. 7
Below is crystalline Ni2AgPt at its relaxed geometry, with properties calculated at the PBE-GGA level.

```
Ni2AgPt
1.0
1.362 0.786 8.707
-1.362 0.786 8.707
0.000 -1.573 8.707
Ni Ag Pt
2 1 1
direct
0.248 0.248 0.248
0.752 0.752 0.752
0.000 0.000 0.000
0.500 0.500 0.500
```

Calculated values
Formation energy (kJ per mole of atoms): 10
Symmetry: R-3m (166)
Total magnetic moment (μB per cell): 1.41
Volume (Å³/cell): 56.0
N(E_F) (states/eV/atom): 1.1651
E_tot (eV/cell): -20.0


No. 8
Below is crystalline NiAgPt2 at its relaxed geometry, with properties calculated at the PBE-GGA level.

```
NiAgPt2
1.0
1.394 -2.352 0.000
1.394 2.352 0.000
0.000 0.000 9.350
Ni Ag Pt
1 1 2
direct
0.000 0.000 0.000
0.000 0.000 0.500
0.500 0.500 0.231
0.500 0.500 0.769
```

Calculated values
Formation energy (kJ per mole of atoms): 4
Symmetry: Cmmm (65)
Total magnetic moment (μB per cell): 1.01
Volume (Å³/cell): 61.3
N(E_F) (states/eV/atom): 1.2113
E_tot (eV/cell): -20.5


No. 9
Below is crystalline NiAgPt3 at its relaxed geometry, with properties calculated at the PBE-GGA level.

```
NiAgPt3
1.0
4.864 0.000 0.000
0.000 4.864 0.000
0.000 0.000 4.864
Ni Ag Pt
1 1 3
direct
0.000 0.000 0.000
0.500 0.500 0.500
0.000 0.500 0.500
0.500 0.000 0.500
0.500 0.500 0.000
```

Calculated values
Formation energy (kJ per mole of atoms): 177
Symmetry: Pm-3m (221)
Total magnetic moment (μB per cell): 1.33
Volume (Å³/cell): 115.1
Excess energy over the best structure of this formula in the dataset (meV per atom): 927
N(E_F) (states/eV/atom): 2.1693
E_tot (eV/cell): -17.6


No. 10
Below is crystalline Ni2AgPt at its relaxed geometry, with properties calculated at the PBE-GGA level.

```
Ni2AgPt
1.0
2.779 -3.643 0.000
2.779 3.643 0.000
0.000 0.000 2.724
Ni Ag Pt
2 1 1
direct
0.000 0.500 0.000
0.500 0.000 0.000
0.000 0.000 0.500
0.500 0.500 0.500
```

Calculated values
Formation energy (kJ per mole of atoms): 8
Symmetry: Cmmm (65)
Total magnetic moment (μB per cell): 1.14
Volume (Å³/cell): 55.2
N(E_F) (states/eV/atom): 1.3944
E_tot (eV/cell): -20.1


No. 11
Below is crystalline NiAgPt2 at its relaxed geometry, with properties calculated at the PBE-GGA level.

```
NiAgPt2
1.0
1.389 0.802 9.070
-1.389 0.802 9.070
0.000 -1.604 9.070
Ni Ag Pt
1 1 2
direct
0.000 0.000 0.000
0.833 0.833 0.833
0.409 0.409 0.409
0.590 0.590 0.590
```

Calculated values
Formation energy (kJ per mole of atoms): -2
Symmetry: R3m (160)
Total magnetic moment (μB per cell): 1.11
Volume (Å³/cell): 60.6
N(E_F) (states/eV/atom): 1.3910
E_tot (eV/cell): -20.8


No. 12
Below is crystalline NiAgPt3 at its relaxed geometry, with properties calculated at the PBE-GGA level.

```
NiAgPt3
1.0
4.574 0.000 0.000
0.000 4.574 0.000
0.000 0.000 4.574
Ni Ag Pt
1 1 3
direct
0.000 0.000 0.000
0.500 0.500 0.500
0.000 0.000 0.500
0.000 0.500 0.000
0.500 0.000 0.000
```

Calculated values
Formation energy (kJ per mole of atoms): 87
Symmetry: Pm-3m (221)
Total magnetic moment (μB per cell): 0.76
Volume (Å³/cell): 95.7
Excess energy over the best structure of this formula in the dataset (meV per atom): 0
N(E_F) (states/eV/atom): 2.0164
E_tot (eV/cell): -22.2


No. 13
Below is crystalline NiAgPt2 at its relaxed geometry, with properties calculated at the PBE-GGA level.

```
NiAgPt2
1.0
-1.897 1.897 9.221
1.897 -1.897 9.221
1.897 1.897 -9.221
Ni Ag Pt
2 2 4
direct
0.000 0.000 0.000
0.750 0.250 0.500
0.250 0.750 0.500
0.500 0.500 0.000
0.113 0.625 0.988
0.375 0.363 0.488
0.637 0.125 0.012
0.875 0.887 0.512
```

Calculated values
Formation energy (kJ per mole of atoms): 35
Symmetry: I-42d (122)
Total magnetic moment (μB per cell): 2.08
Volume (Å³/cell): 132.7
N(E_F) (states/eV/atom): 1.4001
E_tot (eV/cell): -38.5


No. 14
Below is crystalline Ni4AgPt at its relaxed geometry, with properties calculated at the PBE-GGA level.

```
Ni4AgPt
1.0
0.000 3.373 3.373
3.373 0.000 3.373
3.373 3.373 0.000
Ni Ag Pt
4 1 1
direct
0.125 0.125 0.125
0.125 0.125 0.626
0.125 0.626 0.125
0.626 0.125 0.125
0.500 0.500 0.500
0.750 0.750 0.750
```

Calculated values
Formation energy (kJ per mole of atoms): 10
Symmetry: F-43m (216)
Total magnetic moment (μB per cell): 1.83
Volume (Å³/cell): 76.7
N(E_F) (states/eV/atom): 2.0479
E_tot (eV/cell): -31.4


No. 15
Below is crystalline NiAgPt2 at its relaxed geometry, with properties calculated at the PBE-GGA level.

```
NiAgPt2
1.0
2.766 0.000 0.000
0.000 3.873 0.000
0.000 0.000 5.677
Ni Ag Pt
1 1 2
direct
0.000 0.000 0.000
0.500 0.500 0.737
0.000 0.000 0.470
0.500 0.500 0.216
```

Calculated values
Formation energy (kJ per mole of atoms): 6
Symmetry: Pmm2 (25)
Total magnetic moment (μB per cell): 1.34
Volume (Å³/cell): 60.8
N(E_F) (states/eV/atom): 1.3979
E_tot (eV/cell): -20.5


No. 16
Below is crystalline NiAgPt2 at its relaxed geometry, with properties calculated at the PBE-GGA level.

```
NiAgPt2
1.0
3.903 0.000 0.000
0.000 3.903 0.000
0.000 0.000 3.970
Ni Ag Pt
1 1 2
direct
0.000 0.000 0.000
0.500 0.500 0.000
0.000 0.500 0.500
0.500 0.000 0.500
```

Calculated values
Formation energy (kJ per mole of atoms): 7
Symmetry: P4/mmm (123)
Total magnetic moment (μB per cell): 1.12
Volume (Å³/cell): 60.5
N(E_F) (states/eV/atom): 0.9738
E_tot (eV/cell): -20.4


No. 17
Below is crystalline Ni2AgPt at its relaxed geometry, with properties calculated at the PBE-GGA level.

```
Ni2AgPt
1.0
-1.890 1.890 3.895
1.890 -1.890 3.895
1.890 1.890 -3.895
Ni Ag Pt
2 1 1
direct
0.000 0.000 0.000
0.750 0.250 0.500
0.500 0.500 0.000
0.250 0.750 0.500
```

Calculated values
Formation energy (kJ per mole of atoms): 13
Symmetry: I-4m2 (119)
Total magnetic moment (μB per cell): 1.50
Volume (Å³/cell): 55.7
N(E_F) (states/eV/atom): 1.3088
E_tot (eV/cell): -19.9


No. 18
Below is crystalline Ni2AgPt at its relaxed geometry, with properties calculated at the PBE-GGA level.

```
Ni2AgPt
1.0
2.727 0.000 0.000
0.000 2.727 0.000
0.000 0.000 7.472
Ni Ag Pt
2 1 1
direct
0.000 0.000 0.238
0.000 0.000 0.762
0.500 0.500 0.500
0.500 0.500 0.000
```

Calculated values
Formation energy (kJ per mole of atoms): 7
Symmetry: P4/mmm (123)
Total magnetic moment (μB per cell): 1.34
Volume (Å³/cell): 55.6
N(E_F) (states/eV/atom): 1.1573
E_tot (eV/cell): -20.2


No. 19
Below is crystalline NiAgPt2 at its relaxed geometry, with properties calculated at the PBE-GGA level.

```
NiAgPt2
1.0
4.640 -1.395 0.000
4.640 1.395 0.000
-1.056 0.000 4.669
Ni Ag Pt
1 1 2
direct
0.000 0.000 0.000
0.500 0.500 0.500
0.261 0.261 0.762
0.739 0.739 0.238
```

Calculated values
Formation energy (kJ per mole of atoms): 2
Symmetry: C2/m (12)
Total magnetic moment (μB per cell): 1.17
Volume (Å³/cell): 60.4
N(E_F) (states/eV/atom): 1.2119
E_tot (eV/cell): -20.6


No. 20
Below is crystalline NiAgPt2 at its relaxed geometry, with properties calculated at the PBE-GGA level.

```
NiAgPt2
1.0
4.688 0.000 0.000
0.000 4.688 0.000
0.000 0.000 2.781
Ni Ag Pt
1 1 2
direct
0.000 0.000 0.000
0.500 0.500 0.000
0.000 0.500 0.500
0.500 0.000 0.500
```

Calculated values
Formation energy (kJ per mole of atoms): 16
Symmetry: P4/mmm (123)
Total magnetic moment (μB per cell): 0.89
Volume (Å³/cell): 61.1
N(E_F) (states/eV/atom): 1.4142
E_tot (eV/cell): -20.0


No. 21
Below is crystalline NiAgPt2 at its relaxed geometry, with properties calculated at the PBE-GGA level.

```
NiAgPt2
1.0
1.388 0.802 9.035
-1.388 0.802 9.035
0.000 -1.603 9.035
Ni Ag Pt
1 1 2
direct
0.000 0.000 0.000
0.500 0.500 0.500
0.257 0.257 0.257
0.743 0.743 0.743
```

Calculated values
Formation energy (kJ per mole of atoms): -6
Symmetry: R-3m (166)
Total magnetic moment (μB per cell): 1.13
Volume (Å³/cell): 60.3
N(E_F) (states/eV/atom): 0.9085
E_tot (eV/cell): -21.0


No. 22
Below is crystalline Ni2AgPt at its relaxed geometry, with properties calculated at the PBE-GGA level.

```
Ni2AgPt
1.0
2.730 0.000 0.000
0.000 3.573 0.000
0.000 0.000 5.737
Ni Ag Pt
2 1 1
direct
0.000 0.000 0.000
0.500 0.500 0.210
0.500 0.500 0.741
0.000 0.000 0.442
```

Calculated values
Formation energy (kJ per mole of atoms): 11
Symmetry: Pmm2 (25)
Total magnetic moment (μB per cell): 1.47
Volume (Å³/cell): 56.0
N(E_F) (states/eV/atom): 1.2834
E_tot (eV/cell): -20.0


No. 23
Below is crystalline NiAgPt2 at its relaxed geometry, with properties calculated at the PBE-GGA level.

```
NiAgPt2
1.0
-1.972 1.972 3.887
1.972 -1.972 3.887
1.972 1.972 -3.887
Ni Ag Pt
1 1 2
direct
0.000 0.000 0.000
0.750 0.250 0.500
0.250 0.750 0.500
0.500 0.500 0.000
```

Calculated values
Formation energy (kJ per mole of atoms): 8
Symmetry: I-4m2 (119)
Total magnetic moment (μB per cell): 1.26
Volume (Å³/cell): 60.5
N(E_F) (states/eV/atom): 1.0656
E_tot (eV/cell): -20.4


No. 24
Below is crystalline NiAgPt2 at its relaxed geometry, with properties calculated at the PBE-GGA level.

```
NiAgPt2
1.0
4.591 -1.396 0.000
4.591 1.396 0.000
-0.930 0.000 4.735
Ni Ag Pt
1 1 2
direct
0.000 0.000 0.000
0.752 0.752 0.253
0.263 0.263 0.765
0.512 0.512 0.523
```

Calculated values
Formation energy (kJ per mole of atoms): 7
Symmetry: Cm (8)
Total magnetic moment (μB per cell): 1.32
Volume (Å³/cell): 60.7
N(E_F) (states/eV/atom): 1.3225
E_tot (eV/cell): -20.4


No. 25
Below is crystalline NiAgPt2 at its relaxed geometry, with properties calculated at the PBE-GGA level.

```
NiAgPt2
1.0
2.771 0.000 0.000
0.000 3.773 0.000
0.000 0.000 5.789
Ni Ag Pt
1 1 2
direct
0.000 0.000 0.000
0.000 0.000 0.500
0.500 0.500 0.230
0.500 0.500 0.770
```

Calculated values
Formation energy (kJ per mole of atoms): 4
Symmetry: Pmmm (47)
Total magnetic moment (μB per cell): 1.25
Volume (Å³/cell): 60.5
N(E_F) (states/eV/atom): 1.1763
E_tot (eV/cell): -20.5


No. 26
Below is crystalline Ni2AgPt at its relaxed geometry, with properties calculated at the PBE-GGA level.

```
Ni2AgPt
1.0
4.328 -1.368 0.000
4.328 1.368 0.000
-0.844 0.000 4.791
Ni Ag Pt
2 1 1
direct
0.245 0.245 0.224
0.755 0.755 0.776
0.000 0.000 0.500
0.500 0.500 0.000
```

Calculated values
Formation energy (kJ per mole of atoms): 14
Symmetry: C2/m (12)
Total magnetic moment (μB per cell): 1.64
Volume (Å³/cell): 56.7
N(E_F) (states/eV/atom): 1.2990
E_tot (eV/cell): -19.9


No. 27
Below is crystalline Ni2AgPt at its relaxed geometry, with properties calculated at the PBE-GGA level.

```
Ni2AgPt
1.0
3.930 0.000 0.000
0.000 3.930 0.000
0.000 0.000 3.593
Ni Ag Pt
2 1 1
direct
0.000 0.500 0.000
0.500 0.000 0.000
0.000 0.000 0.500
0.500 0.500 0.500
```

Calculated values
Formation energy (kJ per mole of atoms): 12
Symmetry: P4/mmm (123)
Total magnetic moment (μB per cell): 1.39
Volume (Å³/cell): 55.5
N(E_F) (states/eV/atom): 1.3445
E_tot (eV/cell): -20.0


No. 28
Below is crystalline Ni2AgPt at its relaxed geometry, with properties calculated at the PBE-GGA level.

```
Ni2AgPt
1.0
-1.385 2.225 4.504
1.385 -2.225 4.504
1.385 2.225 -4.504
Ni Ag Pt
2 1 1
direct
0.000 0.000 0.000
0.780 0.280 0.500
0.521 0.521 0.000
0.244 0.744 0.500
```

Calculated values
Formation energy (kJ per mole of atoms): 11
Symmetry: Imm2 (44)
Total magnetic moment (μB per cell): 1.44
Volume (Å³/cell): 55.5
N(E_F) (states/eV/atom): 1.3115
E_tot (eV/cell): -20.0


No. 29
Below is crystalline Ni2AgPt at its relaxed geometry, with properties calculated at the PBE-GGA level.

```
Ni2AgPt
1.0
4.632 -1.365 0.000
4.632 1.365 0.000
-1.269 0.000 4.373
Ni Ag Pt
2 1 1
direct
0.000 0.000 0.000
0.720 0.720 0.288
0.476 0.476 0.486
0.250 0.250 0.817
```

Calculated values
Formation energy (kJ per mole of atoms): 9
Symmetry: Cm (8)
Total magnetic moment (μB per cell): 1.31
Volume (Å³/cell): 55.3
N(E_F) (states/eV/atom): 1.2858
E_tot (eV/cell): -20.1


No. 30
Below is crystalline Ni2AgPt at its relaxed geometry, with properties calculated at the PBE-GGA level.

```
Ni2AgPt
1.0
0.000 3.048 3.048
3.048 0.000 3.048
3.048 3.048 0.000
Ni Ag Pt
2 1 1
direct
0.000 0.000 0.000
0.250 0.250 0.250
0.500 0.500 0.500
0.750 0.750 0.750
```

Calculated values
Formation energy (kJ per mole of atoms): 24
Symmetry: F-43m (216)
Total magnetic moment (μB per cell): 1.46
Volume (Å³/cell): 56.6
N(E_F) (states/eV/atom): 1.4196
E_tot (eV/cell): -19.5